1.
VASP calculation (PBE-GGA) on an optimized crystal structure of K2Ga2Sb3.

a b c (Å): 7.3250 15.0002 16.8613
angles (deg): 90.50 90.00 90.00
Sites, in units of the cell vectors:
1 Sb 0.4420 0.6705 0.3866
2 Sb 0.9420 0.3295 0.1134
3 Sb 0.7127 0.7540 0.6819
4 Sb 0.5495 0.8364 0.9009
5 Sb 0.2873 0.2460 0.3181
6 Sb 0.9505 0.8364 0.4009
7 Sb 0.5367 0.5252 0.8349
8 Sb 0.5332 0.0274 0.6731
9 Sb 0.1818 0.7479 0.1780
10 Sb 0.8182 0.2521 0.8220
11 Sb 0.3182 0.7479 0.6780
12 Sb 0.6818 0.2521 0.3220
13 Sb 0.2127 0.2460 0.8181
14 Sb 0.0367 0.4748 0.6651
15 Sb 0.5580 0.3295 0.6134
16 Sb 0.7873 0.7540 0.1819
17 Sb 0.4505 0.1636 0.0991
18 Sb 0.4668 0.9726 0.3269
19 Sb 0.0580 0.6705 0.8866
20 Sb 0.9633 0.5252 0.3349
21 Sb 0.0332 0.9726 0.8269
22 Sb 0.9668 0.0274 0.1731
23 Sb 0.0495 0.1636 0.5991
24 Sb 0.4633 0.4748 0.1651
25 K 0.9759 0.8566 0.0078
26 K 0.4759 0.1434 0.4922
27 K 0.9750 0.0747 0.3874
28 K 0.0461 0.4437 0.8921
29 K 0.0250 0.9253 0.6126
30 K 0.0241 0.1434 0.9922
31 K 0.5396 0.3478 0.9802
32 K 0.5250 0.0747 0.8874
33 K 0.5461 0.5563 0.6079
34 K 0.4750 0.9253 0.1126
35 K 0.0396 0.6522 0.5198
36 K 0.4539 0.4437 0.3921
37 K 0.4604 0.6522 0.0198
38 K 0.9604 0.3478 0.4802
39 K 0.9539 0.5563 0.1079
40 K 0.5241 0.8566 0.5078
41 Ga 0.7159 0.6855 0.8302
42 Ga 0.7700 0.1824 0.1762
43 Ga 0.7841 0.6855 0.3302
44 Ga 0.7654 0.4078 0.2401
45 Ga 0.2700 0.8176 0.3238
46 Ga 0.2346 0.5921 0.7599
47 Ga 0.2654 0.5921 0.2599
48 Ga 0.2159 0.3145 0.6698
49 Ga 0.7346 0.4078 0.7401
50 Ga 0.2085 0.0908 0.7304
51 Ga 0.2915 0.0908 0.2304
52 Ga 0.7915 0.9092 0.2696
53 Ga 0.2841 0.3145 0.1698
54 Ga 0.7300 0.1824 0.6762
55 Ga 0.2300 0.8176 0.8238
56 Ga 0.7085 0.9092 0.7696

Results
* space-group type: P2_1/c
* total magnetic moment: 0.00 μB/cell
* energy above the lowest structure with this stoichiometry: 0 meV per atom
* energy relative to the elements, uncorrected: -365 meV per atom

***

2.
VASP calculation (PBE-GGA) on an optimized crystal structure of K2GaSb2.

a b c (Å): 7.7800 7.7800 5.6659
angles (deg): 90.00 90.00 90.00
Sites, in units of the cell vectors:
1 K 0.3301 0.1699 0.5000
2 K 0.1699 0.6699 0.5000
3 K 0.8301 0.3301 0.5000
4 K 0.6699 0.8301 0.5000
5 Ga 0.5000 0.5000 0.0000
6 Ga 0.0000 0.0000 0.0000
7 Sb 0.1334 0.3666 0.0000
8 Sb 0.3666 0.8666 0.0000
9 Sb 0.6334 0.1334 0.0000
10 Sb 0.8666 0.6334 0.0000

Results
* space-group type: P4/mbm
* total magnetic moment: 0.00 μB/cell
* energy above the lowest structure with this stoichiometry: 151 meV per atom
* energy relative to the elements, uncorrected: -270 meV per atom

***

3.
VASP calculation (PBE-GGA) on an optimized crystal structure of KGaSb.

a b c (Å): 8.0687 4.4610 11.1904
angles (deg): 90.00 101.05 90.00
Sites, in units of the cell vectors:
1 K 0.7795 0.0000 0.6842
2 K 0.0657 0.5000 0.4870
3 K 0.0657 0.0000 0.9870
4 K 0.7795 0.5000 0.1842
5 Ga 0.5102 0.5000 0.4507
6 Ga 0.5102 0.0000 0.9507
7 Ga 0.4403 0.5000 0.6738
8 Ga 0.4403 0.0000 0.1738
9 Sb 0.2663 0.0000 0.7314
10 Sb 0.6877 0.5000 0.8876
11 Sb 0.2663 0.5000 0.2314
12 Sb 0.6877 0.0000 0.3876

Results
* space-group type: Cm
* total magnetic moment: 0.00 μB/cell
* energy above the lowest structure with this stoichiometry: 29 meV per atom
* energy relative to the elements, uncorrected: -319 meV per atom

***

4.
VASP calculation (PBE-GGA) on an optimized crystal structure of K3Ga2Sb4.

a b c (Å): 4.5476 7.5845 9.6850
angles (deg): 106.66 90.00 107.45
Sites, in units of the cell vectors:
1 Ga 0.2808 0.5616 0.6406
2 Ga 0.7192 0.4384 0.3594
3 K 0.6002 0.2003 0.6824
4 K 0.3998 0.7997 0.3176
5 K 0.0000 0.0000 0.0000
6 Sb 0.7082 0.4165 0.0596
7 Sb 0.8816 0.7631 0.6105
8 Sb 0.1184 0.2369 0.3895
9 Sb 0.2918 0.5835 0.9404

Results
* space-group type: C2/m
* total magnetic moment: 0.00 μB/cell
* energy above the lowest structure with this stoichiometry: 4 meV per atom
* energy relative to the elements, uncorrected: -326 meV per atom